# 1
BiSbPO2: optimized geometry, PBE.

Results
- Space-group type: P4/mmm (123)
- Raw formation energy: -2.019 eV/f.u.
- V: 17.8 Å³ per atom
- Offset from the most stable computed form: 0.0 meV per atom

Cell: 4.129 4.129 5.217 Å, 90.00 90.00 90.00°
Fractional positions:
Bi 0.000 0.000 0.000
Sb 0.500 0.500 0.500
P 0.500 0.500 0.000
O 0.000 0.500 0.500
O 0.500 0.000 0.500

---

# 2
BiSbPO2: optimized geometry, PBE.

Results
- Space-group type: P4/mmm (123)
- Raw formation energy: -0.148 eV/f.u.
- V: 19.6 Å³ per atom
- Offset from the most stable computed form: 374.3 meV per atom

Cell: 4.252 4.252 5.433 Å, 90.00 90.00 90.00°
Fractional positions:
Bi 0.000 0.000 0.000
Sb 0.500 0.500 0.500
P 0.000 0.000 0.500
O 0.000 0.500 0.000
O 0.500 0.000 0.000

---

# 3
SiBiPO2: optimized geometry, PBE.

Results
- Space-group type: P4/mmm (123)
- Raw formation energy: -3.878 eV/f.u.
- V: 13.4 Å³ per atom
- Offset from the most stable computed form: 0.0 meV per atom

Cell: 3.785 3.785 4.693 Å, 90.00 90.00 90.00°
Fractional positions:
Si 0.000 0.000 0.000
Bi 0.500 0.500 0.500
P 0.000 0.000 0.500
O 0.000 0.500 0.000
O 0.500 0.000 0.000

---

# 4
SiBiPO2: optimized geometry, PBE.

Results
- Space-group type: P4/mmm (123)
- Raw formation energy: 1.230 eV/f.u.
- V: 18.8 Å³ per atom
- Offset from the most stable computed form: 1021.7 meV per atom

Cell: 4.142 4.142 5.486 Å, 90.00 90.00 90.00°
Fractional positions:
Si 0.000 0.000 0.000
Bi 0.500 0.500 0.500
P 0.500 0.500 0.000
O 0.000 0.500 0.500
O 0.500 0.000 0.500

---

# 5
Sm3BiPO: optimized geometry, PBE.

Results
- Space-group type: P2_1/m (11)
- Raw formation energy: -10.624 eV/f.u.
- V: 27.2 Å³ per atom

Cell: 8.795 4.171 9.117 Å, 90.00 102.85 90.00°
Fractional positions:
Sm 0.068 0.250 0.344
Sm 0.330 0.250 0.977
Sm 0.382 0.750 0.649
Sm 0.618 0.250 0.351
Sm 0.670 0.750 0.023
Sm 0.932 0.750 0.656
Bi 0.320 0.750 0.272
Bi 0.680 0.250 0.728
P 0.158 0.250 0.660
P 0.842 0.750 0.340
O 0.411 0.750 0.909
O 0.589 0.250 0.091

---

# 6
SnBiPO2: optimized geometry, PBE.

Results
- Space-group type: P4/mmm (123)
- Raw formation energy: -0.910 eV/f.u.
- V: 19.6 Å³ per atom
- Offset from the most stable computed form: 286.0 meV per atom

Cell: 4.257 4.257 5.398 Å, 90.00 90.00 90.00°
Fractional positions:
Sn 0.000 0.000 0.000
Bi 0.500 0.500 0.500
P 0.500 0.500 0.000
O 0.000 0.500 0.500
O 0.500 0.000 0.500

---

# 7
SnBiPO2: optimized geometry, PBE.

Results
- Space-group type: P4/mmm (123)
- Raw formation energy: -2.340 eV/f.u.
- V: 17.5 Å³ per atom
- Offset from the most stable computed form: 0.0 meV per atom

Cell: 4.108 4.108 5.189 Å, 90.00 90.00 90.00°
Fractional positions:
Sn 0.000 0.000 0.000
Bi 0.500 0.500 0.500
P 0.000 0.000 0.500
O 0.000 0.500 0.000
O 0.500 0.000 0.000

---

# 8
Sr4BiP3O13: optimized geometry, PBE.

Results
- Space-group type: P2_1/m (11)
- Raw formation energy: -56.432 eV/f.u.
- V: 14.7 Å³ per atom

Cell: 9.759 7.332 9.881 Å, 90.00 119.41 90.00°
Fractional positions:
Sr 0.164 0.001 0.325
Sr 0.164 0.499 0.325
Sr 0.255 0.750 0.985
Sr 0.274 0.250 0.766
Sr 0.726 0.750 0.234
Sr 0.745 0.250 0.015
Sr 0.836 0.501 0.675
Sr 0.836 0.999 0.675
Bi 0.493 0.750 0.760
Bi 0.507 0.250 0.240
P 0.095 0.250 0.965
P 0.130 0.750 0.596
P 0.475 0.750 0.363
P 0.525 0.250 0.637
P 0.870 0.250 0.404
P 0.905 0.750 0.035
O 0.025 0.750 0.673
O 0.032 0.750 0.416
O 0.089 0.750 0.116
O 0.145 0.077 0.908
O 0.145 0.423 0.908
O 0.169 0.250 0.145
O 0.243 0.580 0.650
O 0.243 0.920 0.650
O 0.347 0.250 0.516
O 0.372 0.750 0.443
O 0.431 0.580 0.254
O 0.431 0.920 0.254
O 0.499 0.750 0.971
O 0.501 0.250 0.029
O 0.569 0.080 0.746
O 0.569 0.420 0.746
O 0.628 0.250 0.557
O 0.653 0.750 0.484
O 0.757 0.080 0.350
O 0.757 0.420 0.350
O 0.831 0.750 0.855
O 0.855 0.577 0.092
O 0.855 0.923 0.092
O 0.911 0.250 0.884
O 0.968 0.250 0.584
O 0.975 0.250 0.327